Ni2AgAuF | PBE+U | relaxed

Unit cell a=3.9774 b=3.9774 c=5.1216 alpha=90.00 beta=90.00 gamma=90.00
Last column: nearest neighbours and their distance in Å.
Space group P4/mmm (No. 123)
Symmetry-distinct sites (fractional):
1 Ni 0.0000 0.5000 0.0000 [2 per cell]  2 F 1.99
2 Ag 0.0000 0.0000 0.5000 [1 per cell]  4 Au 2.81
3 Au 0.5000 0.5000 0.5000 [1 per cell]  2 F 2.56, 4 Ag 2.81
4 F 0.5000 0.5000 0.0000 [1 per cell]  4 Ni 1.99

**Calculated total energy**: -12.5 eV per cell